(1)
Here is an optimized crystal structure of AcYH2 from the Alexandria database. Energies are from GGA-PBE.

As for the total energy: -4.61 eV/atom. Its offset from the most stable computed form is 0.021 eV/atom.

The structure belongs to space group R3m (No. 160, hexagonal axes); the cell edges are 3.7691, 3.7691 and 19.6477 Å and the angles 90.00°, 90.00° and 120.00°. The distinct sites, in fractional coordinates, are Ac at (0.0000, 0.0000, 0.0000), Y at (0.0000, 0.0000, 0.1838), H at (0.0000, 0.0000, 0.5755) and H at (0.0000, 0.0000, 0.8652).



(2)
Here is an optimized crystal structure of SmYI3 from the Alexandria database. Energies are from GGA-PBE.

The value obtained for the energy relative to the elements, uncorrected is -1116 meV per atom. As for the total energy: -4.28 eV/atom. Its offset from the most stable computed form is 0.003 eV/atom.

The structure belongs to space group C2/m (No. 12); the cell edges are 20.423, 4.140 and 11.591 Å and the angles 90.00°, 111.04° and 90.00°. The distinct sites, in fractional coordinates, are Sm at (0.074, 0.000, 0.244), Y at (0.075, 0.500, 0.972), I at (0.080, 0.000, 0.767), I at (0.135, 0.500, 0.455) and I at (0.191, 0.000, 0.131).



(3)
Here is an optimized crystal structure of DyTmMgGa from the Alexandria database. Energies are from GGA-PBE.

As for the total energy: -3.75 eV/atom.

The structure belongs to space group F-43m (No. 216); the cell edges are 7.251, 7.251 and 7.251 Å and the angles 90.00°, 90.00° and 90.00°. The distinct sites, in fractional coordinates, are Dy at (0.000, 0.000, 0.000), Tm at (0.000, 0.000, 0.500), Mg at (0.250, 0.250, 0.750) and Ga at (0.250, 0.250, 0.250).



(4)
Here is an optimized crystal structure of TbCe2SbN5 from the Alexandria database. Energies are from GGA-PBE.

The value obtained for the energy relative to the elements, uncorrected is -840 meV per atom. As for the total energy: -7.76 eV/atom.

The structure belongs to space group Cmc2_1 (No. 36); the cell edges are 3.496, 14.100 and 10.658 Å and the angles 90.00°, 90.00° and 90.00°. The distinct sites, in fractional coordinates, are Tb at (0.000, 0.221, 0.000), Ce at (0.000, 0.113, 0.695), Ce at (0.000, 0.141, 0.280), Sb at (0.000, 0.476, 0.465), N at (0.000, 0.053, 0.065), N at (0.000, 0.280, 0.668), N at (0.000, 0.328, 0.365), N at (0.000, 0.380, 0.017) and N at (0.000, 0.485, 0.780).



(5)
Here is an optimized crystal structure of Na2TbF4 from the Alexandria database. Energies are from GGA-PBE.

The value obtained for the energy relative to the elements, uncorrected is -2970 meV per atom. As for the total energy: -5.08 eV/atom.

The structure belongs to space group I4/mmm (No. 139); the cell edges are 4.442, 4.442 and 14.415 Å and the angles 90.00°, 90.00° and 90.00°. The distinct sites, in fractional coordinates, are Na at (0.000, 0.000, 0.192), Tb at (0.000, 0.000, 0.500), F at (0.000, 0.000, 0.348) and F at (0.000, 0.500, 0.000).



(6)
Here is an optimized crystal structure of Pm2Cd5Pd3 from the Alexandria database. Energies are from GGA-PBE.

As for the total energy: -3.46 eV/atom.

The structure belongs to space group Cmc2_1 (No. 36); the cell edges are 4.444, 26.886 and 7.467 Å and the angles 90.00°, 90.00° and 90.00°. The distinct sites, in fractional coordinates, are Pm at (0.000, 0.026, 0.000), Pm at (0.000, 0.322, 0.110), Cd at (0.000, 0.099, 0.386), Cd at (0.000, 0.205, 0.308), Cd at (0.000, 0.206, 0.921), Cd at (0.000, 0.372, 0.553), Cd at (0.000, 0.444, 0.169), Pd at (0.000, 0.113, 0.769), Pd at (0.000, 0.263, 0.616) and Pd at (0.000, 0.459, 0.785).